(1)
Compound: K2AlW
Source: Alexandria via LeMat-Bulk
Functional: GGA-PBE
Structure: relaxed

```
data_K2AlW
_cell_length_a 2.8488
_cell_length_b 2.8488
_cell_length_c 12.1548
_cell_angle_alpha 90.00
_cell_angle_beta 90.00
_cell_angle_gamma 90.00
_space_group_name_H-M_alt 'P 1'
_space_group_IT_number 1
loop_
_space_group_symop_operation_xyz
'x,y,z'
loop_
_atom_site_label
_atom_site_type_symbol
_atom_site_fract_x
_atom_site_fract_y
_atom_site_fract_z
_atom_site_occupancy
Al1 Al 0.5000 0.5000 0.7500 1
W1 W 0.5000 0.5000 0.2500 1
K1 K 0.0000 0.0000 0.0044 1
K2 K 0.0000 0.0000 0.4956 1
```

Values from the calculation:
formation enthalpy at 0 K = 1.19 eV/atom
calculated total energy = -14.13 eV for the cell shown
space group = P4/mmm (123)
spin magnetization = 0.122 μB/atom


(2)
Compound: Al4In2Cu
Source: Alexandria via LeMat-Bulk
Functional: GGA-PBE
Structure: relaxed

```
data_Al4In2Cu
_cell_length_a 4.5607
_cell_length_b 4.5607
_cell_length_c 8.2507
_cell_angle_alpha 73.96
_cell_angle_beta 73.96
_cell_angle_gamma 90.00
_space_group_name_H-M_alt 'P 1'
_space_group_IT_number 1
loop_
_space_group_symop_operation_xyz
'x,y,z'
loop_
_atom_site_label
_atom_site_type_symbol
_atom_site_fract_x
_atom_site_fract_y
_atom_site_fract_z
_atom_site_occupancy
Al1 Al 0.0000 0.5000 0.0000 1
Al2 Al 0.5000 0.0000 0.0000 1
Al3 Al 0.1574 0.1574 0.6851 1
Al4 Al 0.8426 0.8426 0.3149 1
In1 In 0.6573 0.6573 0.6854 1
In2 In 0.3427 0.3427 0.3146 1
Cu1 Cu 0.0000 0.0000 0.0000 1
```

Values from the calculation:
formation enthalpy at 0 K = 0.30 eV/atom
calculated total energy = -22.47 eV for the cell shown
space group = I4/mmm (139)
spin magnetization = 0.000 μB/atom


(3)
Compound: La4Ce3Co2
Source: Alexandria via LeMat-Bulk
Functional: GGA-PBE
Structure: relaxed

```
data_La4Ce3Co2
_cell_length_a 3.6618
_cell_length_b 8.8686
_cell_length_c 8.8110
_cell_angle_alpha 116.30
_cell_angle_beta 101.99
_cell_angle_gamma 90.00
_space_group_name_H-M_alt 'P 1'
_space_group_IT_number 1
loop_
_space_group_symop_operation_xyz
'x,y,z'
loop_
_atom_site_label
_atom_site_type_symbol
_atom_site_fract_x
_atom_site_fract_y
_atom_site_fract_z
_atom_site_occupancy
Ce1 Ce 0.0000 0.5000 0.0000 1
Ce2 Ce 0.0777 0.1949 0.1554 1
Ce3 Ce 0.9223 0.8051 0.8446 1
La1 La 0.2295 0.6447 0.4590 1
La2 La 0.3767 0.1128 0.7533 1
La3 La 0.7705 0.3553 0.5410 1
La4 La 0.6233 0.8872 0.2467 1
Co1 Co 0.5780 0.3995 0.1560 1
Co2 Co 0.4220 0.6005 0.8440 1
```

Values from the calculation:
formation enthalpy at 0 K = -0.10 eV/atom
calculated total energy = -52.64 eV for the cell shown
space group = C2/m (12)
spin magnetization = 0.000 μB/atom